No. 1
## MnZn2InGa (PBE)

Data for a geometry-optimized MnZn2InGa structure.

Cell and atoms, written as extended XYZ:
```
5
Lattice="4.714 0.000 0.000 0.000 4.876 0.000 0.000 0.000 4.714" Properties=species:S:1:pos:R:3 pbc="T T T"
Zn 0.000 0.000 2.357
Mn 0.000 2.438 0.000
Ga 0.000 0.000 0.000
In 2.357 2.438 2.357
Zn 2.357 0.000 0.000
```

Output
- ΔE_f (eV/atom) = 0.44

***

No. 2
## ZrMn2InGa (PBE)

Data for a geometry-optimized ZrMn2InGa structure.

Cell and atoms, written as extended XYZ:
```
5
Lattice="-2.983 -0.225 3.510 -2.481 -3.555 -2.335 2.641 -3.183 2.040" Properties=species:S:1:pos:R:3 pbc="T T T"
Mn -1.491 -0.112 1.755
Zr -1.411 -3.481 1.608
Mn 1.320 -1.592 1.020
In -1.240 -1.777 -1.168
Ga 0.000 0.000 0.000
```

Output
- ΔE_f (eV/atom) = 0.67

***

No. 3
## InGaMo2 (PBE)

Data for a geometry-optimized InGaMo2 structure.

Cell and atoms, written as extended XYZ:
```
8
Lattice="3.883 0.000 0.000 0.000 3.883 0.000 1.941 1.941 9.892" Properties=species:S:1:pos:R:3 pbc="T T T"
In 0.000 0.000 0.000
Ga 1.941 1.941 0.000
Mo 1.117 2.912 2.473
In 3.883 1.941 4.946
Ga 1.941 3.883 4.946
Mo 2.912 3.058 7.419
Mo 4.853 4.707 7.419
Mo 2.766 0.971 2.473
```

Output
- ΔE_f (eV/atom) = 0.54

***

No. 4
## In2GaMo (PBE)

Data for a geometry-optimized In2GaMo structure.

Cell and atoms, written as extended XYZ:
```
8
Lattice="7.815 0.000 0.000 0.000 7.815 0.000 3.907 3.907 2.791" Properties=species:S:1:pos:R:3 pbc="T T T"
Ga 3.907 7.815 1.395
In 1.941 5.861 0.698
In 9.769 9.782 2.093
Mo 7.815 3.907 1.395
In 5.861 5.848 2.093
Mo 0.000 0.000 0.000
Ga 3.907 3.907 0.000
In 5.874 1.954 0.698
```

Output
- ΔE_f (eV/atom) = 0.63

***

No. 5
## InGa3Mo (PBE)

Data for a geometry-optimized InGa3Mo structure.

Cell and atoms, written as extended XYZ:
```
5
Lattice="4.978 0.000 0.000 0.000 4.978 0.000 0.000 0.000 4.978" Properties=species:S:1:pos:R:3 pbc="T T T"
Mo 0.000 0.000 0.000
In 2.489 2.489 2.489
Ga 0.000 0.000 2.489
Ga 2.489 0.000 0.000
Ga 0.000 2.489 0.000
```

Output
- ΔE to the lowest computed polymorph (kJ per mole of atoms) = 0.0
- ΔE_f (eV/atom) = 0.31

***

No. 6
## InGaMo (PBE)

Data for a geometry-optimized InGaMo structure.

Cell and atoms, written as extended XYZ:
```
12
Lattice="-3.474 2.060 -4.098 3.191 -2.594 -4.009 -2.277 -6.768 2.567" Properties=species:S:1:pos:R:3 pbc="T T T"
Ga -2.203 -4.966 -2.649
In -1.157 -7.053 -4.578
Mo -2.978 -2.535 -3.572
Ga -0.503 -2.601 -6.940
Ga -2.058 -4.701 1.400
Mo 0.417 -4.767 -1.967
In -1.549 -0.513 -5.009
Mo -0.710 -4.233 -4.782
Mo -1.851 -3.069 -0.757
In -1.403 -0.250 -0.961
In -1.011 -6.789 -0.531
Ga -0.358 -2.337 -2.890
```

Output
- ΔE_f (eV/atom) = 0.16

***

No. 7
## ScInGaMo2 (PBE)

Data for a geometry-optimized ScInGaMo2 structure.

Cell and atoms, written as extended XYZ:
```
5
Lattice="4.952 0.000 0.000 0.000 5.070 0.000 0.000 0.000 4.952" Properties=species:S:1:pos:R:3 pbc="T T T"
Mo 2.476 0.000 0.000
Ga 2.476 2.535 2.476
In 0.000 0.000 0.000
Mo 0.000 0.000 2.476
Sc 0.000 2.535 0.000
```

Output
- ΔE_f (eV/atom) = 1.68

***

No. 8
## InGaMo2Se (PBE)

Data for a geometry-optimized InGaMo2Se structure.

Cell and atoms, written as extended XYZ:
```
5
Lattice="-0.169 -4.639 2.572 3.366 1.680 3.251 -3.902 1.851 3.083" Properties=species:S:1:pos:R:3 pbc="T T T"
In 0.000 0.000 0.000
Mo -1.951 0.926 1.542
Se -0.353 -0.554 4.453
Mo -0.084 -2.319 1.286
Ga 1.683 0.840 1.626
```

Output
- formation energy without anion corrections (eV/atom) = 1.766

***

No. 9
## TlInGaMo2 (PBE)

Data for a geometry-optimized TlInGaMo2 structure.

Cell and atoms, written as extended XYZ:
```
5
Lattice="5.277 0.000 0.000 0.000 5.277 0.000 0.000 0.000 5.055" Properties=species:S:1:pos:R:3 pbc="T T T"
Mo 0.000 2.639 0.000
In 2.639 2.639 2.527
Ga 0.000 0.000 2.527
Mo 2.639 0.000 0.000
Tl 0.000 0.000 0.000
```

Output
- ΔE_f (eV/atom) = 1.84

***

No. 10
## Y2InGaMo (PBE)

Data for a geometry-optimized Y2InGaMo structure.

Cell and atoms, written as extended XYZ:
```
5
Lattice="-3.181 0.967 4.519 1.238 -4.548 1.845 4.413 2.265 2.621" Properties=species:S:1:pos:R:3 pbc="T T T"
Y 2.207 1.132 1.311
Ga 1.235 -0.658 4.493
Y -1.590 0.484 2.260
In 0.000 0.000 0.000
Mo 0.619 -2.274 0.923
```

Output
- ΔE_f (eV/atom) = 0.91

***

No. 11
## InGa3N4 (PBE)

Data for a geometry-optimized InGa3N4 structure.

Cell and atoms, written as extended XYZ:
```
8
Lattice="-2.398 -1.598 -1.614 2.552 -1.681 1.251 -5.402 -1.282 9.296" Properties=species:S:1:pos:R:3 pbc="T T T"
N -5.044 -2.645 6.735
N 0.471 -1.756 1.038
N -2.102 -2.366 5.466
In -6.141 -2.906 8.622
Ga -3.440 -2.265 3.975
Ga -3.084 -2.599 7.156
Ga -0.498 -1.986 2.706
N -2.459 -2.032 2.285
```

Output
- formation energy without anion corrections (eV/atom) = -0.279

***

No. 12
## InGa2N2 (PBE)

Data for a geometry-optimized InGa2N2 structure.

Cell and atoms, written as extended XYZ:
```
5
Lattice="-0.044 3.765 -0.440 -2.471 0.305 2.859 4.185 2.641 5.848" Properties=species:S:1:pos:R:3 pbc="T T T"
Ga 1.442 4.220 3.309
N 0.977 2.284 3.114
N 0.693 4.427 5.154
In 0.000 0.000 0.000
Ga 0.228 2.490 4.958
```

Output
- formation energy without anion corrections (eV/atom) = 0.404
- ΔE to the lowest computed polymorph (kJ per mole of atoms) = 5.1

***

No. 13
## InGa2N3 (PBE)

Data for a geometry-optimized InGa2N3 structure.

Cell and atoms, written as extended XYZ:
```
12
Lattice="-2.889 -3.424 3.650 2.255 -2.174 -4.856 4.825 0.732 3.025" Properties=species:S:1:pos:R:3 pbc="T T T"
In 4.242 -1.977 -2.600
Ga 2.549 -2.383 0.216
N 3.759 -0.314 3.367
N 2.340 -0.438 0.212
Ga 0.861 -2.807 3.006
N 2.612 -3.057 -1.650
In -2.421 -3.375 2.915
N 4.243 -2.688 1.209
Ga 0.975 -2.560 -2.684
N 0.992 -3.258 1.084
N 2.600 -3.280 3.871
Ga -0.714 -2.956 0.110
```

Output
- formation energy without anion corrections (eV/atom) = -0.256
- ΔE to the lowest computed polymorph (kJ per mole of atoms) = 2.0

***

No. 14
## InGaN (PBE)

Data for a geometry-optimized InGaN structure.

Cell and atoms, written as extended XYZ:
```
6
Lattice="6.368 0.000 0.000 0.000 3.434 -0.634 0.000 -2.505 5.585" Properties=species:S:1:pos:R:3 pbc="T T T"
In 0.000 -1.148 4.039
Ga 1.414 0.062 0.954
N 0.000 0.291 2.233
N 3.184 -0.029 0.422
In 3.184 -1.113 4.106
Ga 4.955 0.062 0.954
```

Output
- formation energy without anion corrections (eV/atom) = 0.285

***

No. 15
## In3Ga3N5 (PBE)

Data for a geometry-optimized In3Ga3N5 structure.

Cell and atoms, written as extended XYZ:
```
22
Lattice="5.990 -0.004 0.015 -0.295 6.597 -0.002 -0.995 -2.504 8.349" Properties=species:S:1:pos:R:3 pbc="T T T"
Ga 1.473 -0.605 3.447
N 0.699 3.173 7.456
N 4.389 -1.742 6.666
N 4.563 3.300 4.377
N 3.445 -0.380 3.649
Ga -0.210 4.031 5.938
N 0.137 0.788 3.985
N 4.057 1.451 7.402
Ga 3.226 4.693 4.915
Ga 0.592 4.495 0.256
In 0.638 2.799 3.270
Ga 4.909 0.057 2.424
In 3.522 3.515 2.137
In 2.867 3.247 7.718
Ga 4.108 -0.406 8.106
N 4.000 0.916 0.906
N 0.642 2.637 0.960
N 1.254 4.468 4.713
In 1.177 0.574 6.225
N 0.311 5.831 1.696
In 4.061 1.289 5.092
In 1.832 0.841 0.644
```

Output
- formation energy without anion corrections (eV/atom) = 0.130

***

No. 16
## InGa2N3 (PBE)

Data for a geometry-optimized InGa2N3 structure.

Cell and atoms, written as extended XYZ:
```
12
Lattice="-4.900 1.814 -2.479 0.263 -5.268 2.362 -1.636 2.035 4.722" Properties=species:S:1:pos:R:3 pbc="T T T"
N -3.545 -1.620 1.683
In -1.533 0.301 5.441
Ga -2.388 -0.138 2.269
Ga -4.677 -0.294 4.626
Ga -3.773 -3.033 3.037
In -0.623 -2.558 3.906
N -0.566 -0.815 2.593
N -3.083 0.644 3.950
Ga -3.292 2.601 3.858
N -2.346 1.243 0.864
N -1.282 -1.826 5.864
N -4.282 -2.219 4.769
```

Output
- formation energy without anion corrections (eV/atom) = -0.277
- ΔE to the lowest computed polymorph (kJ per mole of atoms) = 0.0

***

No. 17
## InGa2N2 (PBE)

Data for a geometry-optimized InGa2N2 structure.

Cell and atoms, written as extended XYZ:
```
10
Lattice="-1.911 -6.675 0.459 4.641 -1.666 -4.910 2.234 -0.483 2.275" Properties=species:S:1:pos:R:3 pbc="T T T"
Ga 3.773 -2.099 -1.864
In 0.000 0.000 0.000
N 0.540 -2.194 -0.997
N -0.214 -5.604 -0.980
N 2.944 -2.738 -3.472
Ga 0.966 -2.964 0.707
In 1.365 -4.171 -2.226
N 2.189 -6.148 -3.455
Ga 3.997 -5.861 -2.884
Ga 1.191 -6.725 -0.312
```

Output
- formation energy without anion corrections (eV/atom) = 0.351
- ΔE to the lowest computed polymorph (kJ per mole of atoms) = 0.0

***

No. 18
## InGa2N (PBE)

Data for a geometry-optimized InGa2N structure.

Cell and atoms, written as extended XYZ:
```
8
Lattice="5.744 0.000 0.000 0.000 5.744 0.000 2.872 2.872 4.649" Properties=species:S:1:pos:R:3 pbc="T T T"
Ga 4.308 4.912 3.487
N 2.872 2.872 0.000
In 0.000 0.000 0.000
Ga 3.703 1.436 1.162
N 2.872 5.744 2.325
Ga 2.040 4.308 1.162
In 5.744 2.872 2.325
Ga 7.179 6.575 3.487
```

Output
- formation energy without anion corrections (eV/atom) = 0.146
- ΔE to the lowest computed polymorph (kJ per mole of atoms) = 0.0

***

No. 19
## InGa2N (PBE)

Data for a geometry-optimized InGa2N structure.

Cell and atoms, written as extended XYZ:
```
4
Lattice="-0.279 -1.672 4.349 0.716 2.833 3.640 -3.572 1.221 2.745" Properties=species:S:1:pos:R:3 pbc="T T T"
In -1.568 1.191 5.367
Ga -0.784 0.596 2.683
Ga -2.351 1.787 8.050
N 0.000 0.000 0.000
```

Output
- formation energy without anion corrections (eV/atom) = 0.990
- ΔE to the lowest computed polymorph (kJ per mole of atoms) = 81.4

***

No. 20
## InGaN2O (PBE)

Data for a geometry-optimized InGaN2O structure.

Cell and atoms, written as extended XYZ:
```
5
Lattice="4.298 0.000 0.000 0.000 4.298 0.000 0.000 0.000 4.271" Properties=species:S:1:pos:R:3 pbc="T T T"
N 2.149 0.000 0.000
N 0.000 2.149 0.000
O 0.000 0.000 2.136
Ga 2.149 2.149 2.136
In 0.000 0.000 0.000
```

Output
- formation energy without anion corrections (eV/atom) = 1.127

***

No. 21
## InGaN2O (PBE)

Data for a geometry-optimized InGaN2O structure.

Cell and atoms, written as extended XYZ:
```
5
Lattice="-0.682 -0.335 -3.875 2.837 -2.734 -0.262 -2.682 -2.852 0.719" Properties=species:S:1:pos:R:3 pbc="T T T"
N -0.341 -0.168 -1.938
O -1.341 -1.426 0.359
In -0.263 -2.961 -1.710
N 1.419 -1.367 -0.131
Ga 0.000 0.000 0.000
```

Output
- formation energy without anion corrections (eV/atom) = 0.642

***

No. 22
## PaInGaN (PBE)

Data for a geometry-optimized PaInGaN structure.

Cell and atoms, written as extended XYZ:
```
8
Lattice="4.154 0.000 0.000 0.000 4.154 0.000 0.000 0.000 8.658" Properties=species:S:1:pos:R:3 pbc="T T T"
Pa 0.000 2.077 7.570
In 2.077 2.077 4.329
In 0.000 0.000 4.329
N 0.000 0.000 0.000
Pa 2.077 0.000 1.088
Ga 0.000 2.077 2.388
Ga 2.077 0.000 6.269
N 2.077 2.077 0.000
```

Output
- formation energy without anion corrections (eV/atom) = -0.770

***

No. 23
## InGaPt2N (PBE)

Data for a geometry-optimized InGaPt2N structure.

Cell and atoms, written as extended XYZ:
```
5
Lattice="4.061 0.000 0.000 0.000 5.476 0.000 0.000 0.000 4.061" Properties=species:S:1:pos:R:3 pbc="T T T"
Pt 0.000 0.000 2.030
Ga 2.030 2.738 2.030
Pt 2.030 0.000 0.000
In 0.000 2.738 0.000
N 0.000 0.000 0.000
```

Output
- formation energy without anion corrections (eV/atom) = 0.421

***

No. 24
## InGaS2N (PBE)

Data for a geometry-optimized InGaS2N structure.

Cell and atoms, written as extended XYZ:
```
5
Lattice="-2.601 4.083 1.069 -2.515 -0.491 -4.244 -2.555 -2.087 1.756" Properties=species:S:1:pos:R:3 pbc="T T T"
N -1.277 -1.043 0.878
Ga 0.000 0.000 0.000
In -3.835 0.753 -0.710
S -1.258 -0.246 -2.122
S -1.300 2.042 0.534
```

Output
- formation energy without anion corrections (eV/atom) = 0.485
- ΔE to the lowest computed polymorph (kJ per mole of atoms) = 0.0

***

No. 25
## InGaSN2 (PBE)

Data for a geometry-optimized InGaSN2 structure.

Cell and atoms, written as extended XYZ:
```
5
Lattice="-2.907 2.456 -0.675 -2.510 -2.585 1.398 0.615 2.100 4.988" Properties=species:S:1:pos:R:3 pbc="T T T"
N -1.453 1.228 -0.338
N -1.255 -1.293 0.699
In -2.400 0.985 2.855
Ga 0.000 0.000 0.000
S 0.308 1.050 2.494
```

Output
- formation energy without anion corrections (eV/atom) = 0.960
- ΔE to the lowest computed polymorph (kJ per mole of atoms) = 0.0

***

No. 26
## InGaS2N (PBE)

Data for a geometry-optimized InGaS2N structure.

Cell and atoms, written as extended XYZ:
```
5
Lattice="5.247 0.000 0.000 0.000 5.247 0.000 0.000 0.000 4.168" Properties=species:S:1:pos:R:3 pbc="T T T"
N 0.000 0.000 2.084
S 0.000 2.623 0.000
In 0.000 0.000 0.000
S 2.623 0.000 0.000
Ga 2.623 2.623 2.084
```

Output
- formation energy without anion corrections (eV/atom) = 0.800
- ΔE to the lowest computed polymorph (kJ per mole of atoms) = 30.3